Entry 1:
Material: Ta3GaC
Method: DFT, PBE
State: relaxed

Lattice parameters (Å, degrees): 3.226 8.430 5.690 90.00 106.42 90.00
Sites, in units of the cell vectors:
1 C 0.000 0.000 0.500
2 C 0.000 0.500 0.500
3 Ga 0.256 0.750 0.015
4 Ga 0.744 0.250 0.985
5 Ta 0.369 0.049 0.236
6 Ta 0.369 0.451 0.236
7 Ta 0.952 0.750 0.405
8 Ta 0.048 0.250 0.595
9 Ta 0.631 0.549 0.764
10 Ta 0.631 0.951 0.764

Output
Total moment   0.0 μB/cell
Calculated total energy   -10.04 eV/atom
ρ   14.0 g/cm3

***

Entry 2:
Material: BeTePbW
Method: DFT, PBE
State: relaxed

Lattice parameters (Å, degrees): 4.800 4.800 4.800 60.00 60.00 60.00
Sites, in units of the cell vectors:
1 Be 0.750 0.750 0.750
2 Pb 0.000 0.000 0.000
3 Te 0.500 0.500 0.500
4 W 0.250 0.250 0.250

Output
Total moment   0.0 μB/cell
Calculated total energy   -4.78 eV/atom
ρ   11.2 g/cm3

***

Entry 3:
Material: PrSmAl2Ge2
Method: DFT, PBE
State: relaxed

Lattice parameters (Å, degrees): 7.961 7.961 7.961 148.96 148.95 44.48
Sites, in units of the cell vectors:
1 Al 0.920 0.920 0.000
2 Al 0.669 0.169 0.500
3 Ge 0.753 0.753 0.000
4 Ge 0.504 0.004 0.500
5 Pr 0.335 0.335 0.000
6 Sm 0.085 0.585 0.500

Output
Total moment   0.0 μB/cell
Calculated total energy   -5.05 eV/atom
ρ   6.1 g/cm3

***

Entry 4:
Material: NaHfCu3Te4
Method: DFT, PBE
State: relaxed

Lattice parameters (Å, degrees): 6.097 8.207 10.203 90.00 105.99 90.00
Sites, in units of the cell vectors:
1 Cu 0.286 0.511 0.001
2 Cu 0.286 0.989 0.001
3 Cu 0.838 0.250 0.188
4 Cu 0.162 0.750 0.812
5 Cu 0.714 0.011 0.999
6 Cu 0.714 0.489 0.999
7 Hf 0.339 0.250 0.210
8 Hf 0.661 0.750 0.790
9 Na 0.237 0.750 0.416
10 Na 0.763 0.250 0.584
11 Te 0.001 0.750 0.037
12 Te 0.613 0.518 0.232
13 Te 0.613 0.982 0.232
14 Te 0.167 0.250 0.426
15 Te 0.833 0.750 0.574
16 Te 0.387 0.018 0.768
17 Te 0.387 0.482 0.768
18 Te 0.999 0.250 0.963

Output
Total moment   0.0 μB/cell
Calculated total energy   -4.29 eV/atom
ρ   6.1 g/cm3

***

Entry 5:
Material: Zr3CdC
Method: DFT, PBE
State: relaxed

Lattice parameters (Å, degrees): 4.580 4.580 4.580 90.00 90.00 90.00
Sites, in units of the cell vectors:
1 C 0.000 0.000 0.000
2 Cd 0.500 0.500 0.500
3 Zr 0.500 0.000 0.000
4 Zr 0.000 0.500 0.000
5 Zr 0.000 0.000 0.500

Output
Total moment   0.0 μB/cell
Calculated total energy   -7.59 eV/atom
ρ   6.9 g/cm3

***

Entry 6:
Material: TaTcNO
Method: DFT, PBE
State: relaxed

Lattice parameters (Å, degrees): 4.240 4.240 4.663 90.00 90.00 90.00
Sites, in units of the cell vectors:
1 N 0.000 0.500 0.380
2 N 0.500 0.000 0.620
3 O 0.000 0.000 0.000
4 O 0.500 0.500 0.000
5 Ta 0.000 0.000 0.500
6 Ta 0.500 0.500 0.500
7 Tc 0.500 0.000 0.080
8 Tc 0.000 0.500 0.920

Output
Total moment   0.0 μB/cell
Calculated total energy   -9.45 eV/atom
ρ   12.2 g/cm3

***

Entry 7:
Material: LiFeReSn
Method: DFT, PBE
State: relaxed

Lattice parameters (Å, degrees): 4.281 4.281 4.281 60.00 60.00 60.00
Sites, in units of the cell vectors:
1 Fe 0.750 0.750 0.750
2 Li 0.250 0.250 0.250
3 Re 0.500 0.500 0.500
4 Sn 0.000 0.000 0.000

Output
Total moment   1.9 μB/cell
Calculated total energy   -6.42 eV/atom
ρ   11.0 g/cm3

***

Entry 8:
Material: DyHoZn4
Method: DFT, PBE
State: relaxed

Lattice parameters (Å, degrees): 5.622 5.622 5.622 133.31 102.18 95.91
Sites, in units of the cell vectors:
1 Dy 0.470 0.470 0.000
2 Ho 0.030 0.530 0.500
3 Zn 0.040 0.834 0.206
4 Zn 0.460 0.166 0.294
5 Zn 0.872 0.166 0.706
6 Zn 0.628 0.834 0.794

Output
Energy of formation from the pure elements   -0.39 eV per atom
Total moment   0.0 μB/cell
Calculated total energy   -2.77 eV/atom
ρ   8.3 g/cm3

***

Entry 9:
Material: CuSnAuS3
Method: DFT, PBE
State: relaxed

Lattice parameters (Å, degrees): 7.235 7.235 8.651 90.00 90.00 150.01
Sites, in units of the cell vectors:
1 Au 0.000 0.000 0.000
2 Au 0.000 0.000 0.500
3 Cu 0.535 0.465 0.250
4 Cu 0.465 0.535 0.750
5 S 0.659 0.341 0.071
6 S 0.922 0.078 0.250
7 S 0.659 0.341 0.429
8 S 0.341 0.659 0.571
9 S 0.078 0.922 0.750
10 S 0.341 0.659 0.929
11 Sn 0.251 0.749 0.250
12 Sn 0.749 0.251 0.750

Output
Calculated total energy   -3.93 eV/atom
ρ   7.0 g/cm3

***

Entry 10:
Material: LiTaZnFe
Method: DFT, PBE
State: relaxed

Lattice parameters (Å, degrees): 5.323 5.323 5.323 60.00 60.00 60.00
Sites, in units of the cell vectors:
1 Fe 0.750 0.750 0.750
2 Li 0.500 0.500 0.500
3 Ta 0.250 0.250 0.250
4 Zn 0.000 0.000 0.000

Output
Total moment   1.0 μB/cell
Calculated total energy   -4.26 eV/atom
ρ   4.8 g/cm3

***

Entry 11:
Material: Rb2Li14Tb3O14
Method: DFT, PBE
State: relaxed

Lattice parameters (Å, degrees): 7.375 8.000 8.452 118.25 115.87 90.00
Site moments in Bohr magnetons follow the coordinates.
Sites, in units of the cell vectors:
1 Li 0.500 0.155 0.000  0.00
2 Li 0.500 0.845 0.000  0.00
3 Li 0.405 0.289 0.264  0.00
4 Li 0.859 0.289 0.264  0.00
5 Li 0.405 0.974 0.264  0.00
6 Li 0.859 0.974 0.264  0.00
7 Li 0.233 0.587 0.466  0.00
8 Li 0.233 0.879 0.466  0.00
9 Li 0.767 0.121 0.534  0.00
10 Li 0.767 0.413 0.534  0.00
11 Li 0.141 0.026 0.736  0.00
12 Li 0.595 0.026 0.736  0.00
13 Li 0.141 0.711 0.736  0.00
14 Li 0.595 0.711 0.736  0.00
15 O 0.299 0.000 0.000  0.18
16 O 0.701 0.000 0.000  0.18
17 O 0.626 0.406 0.252  0.14
18 O 0.626 0.846 0.252  0.15
19 O 0.130 0.320 0.260  0.13
20 O 0.130 0.940 0.260  0.13
21 O 0.546 0.247 0.494  0.26
22 O 0.948 0.247 0.494  0.26
23 O 0.052 0.753 0.506  0.26
24 O 0.454 0.753 0.506  0.26
25 O 0.870 0.060 0.740  0.13
26 O 0.870 0.680 0.740  0.13
27 O 0.374 0.154 0.748  0.15
28 O 0.374 0.594 0.748  0.14
29 Rb 0.230 0.500 0.000  0.00
30 Rb 0.770 0.500 0.000  0.00
31 Tb 0.000 0.000 0.000  0.02
32 Tb 0.730 0.730 0.459  0.04
33 Tb 0.270 0.270 0.541  0.04

Output
Total moment   3.0 μB/cell
Calculated total energy   -5.42 eV/atom
ρ   4.2 g/cm3

***

Entry 12:
Material: KSb5W3
Method: DFT, PBE
State: relaxed

Lattice parameters (Å, degrees): 5.637 5.637 9.351 90.00 90.00 120.00
Sites, in units of the cell vectors:
1 K 0.000 0.000 0.000
2 Sb 0.667 0.333 0.249
3 Sb 0.333 0.667 0.249
4 Sb 0.000 0.000 0.500
5 Sb 0.667 0.333 0.751
6 Sb 0.333 0.667 0.751
7 W 0.500 0.000 0.500
8 W 0.000 0.500 0.500
9 W 0.500 0.500 0.500

Output
Total moment   0.0 μB/cell
Calculated total energy   -6.56 eV/atom
ρ   7.7 g/cm3

***

Entry 13:
Material: Al2Zn2Ge3
Method: DFT, PBE
State: relaxed

Lattice parameters (Å, degrees): 8.472 8.472 8.472 29.46 29.46 29.46
Sites, in units of the cell vectors:
1 Al 0.246 0.246 0.246
2 Al 0.757 0.757 0.757
3 Ge 0.385 0.385 0.385
4 Ge 0.624 0.624 0.624
5 Ge 0.865 0.865 0.865
6 Zn 0.005 0.005 0.005
7 Zn 0.493 0.493 0.493

Output
Calculated total energy   -3.20 eV/atom
ρ   5.1 g/cm3

***

Entry 14:
Material: HfTa2B
Method: DFT, PBE
State: relaxed

Lattice parameters (Å, degrees): 4.509 4.509 4.509 60.00 60.00 60.00
Sites, in units of the cell vectors:
1 B 0.500 0.500 0.500
2 Hf 0.250 0.250 0.250
3 Ta 0.000 0.000 0.000
4 Ta 0.750 0.750 0.750

Output
Total moment   0.0 μB/cell
Calculated total energy   -9.60 eV/atom
ρ   14.1 g/cm3

***

Entry 15:
Material: Tl2Zn2Ge3
Method: DFT, PBE
State: relaxed

Lattice parameters (Å, degrees): 8.269 8.269 8.269 34.34 34.34 34.34
Sites, in units of the cell vectors:
1 Ge 0.367 0.367 0.367
2 Ge 0.634 0.634 0.634
3 Ge 0.887 0.887 0.887
4 Tl 0.228 0.228 0.228
5 Tl 0.763 0.763 0.763
6 Zn 0.002 0.002 0.002
7 Zn 0.494 0.494 0.494

Output
Calculated total energy   -2.70 eV/atom
ρ   7.8 g/cm3

***

Entry 16:
Material: LiW3Se5
Method: DFT, PBE
State: relaxed

Lattice parameters (Å, degrees): 5.724 5.724 7.479 90.00 90.00 120.00
Site moments in Bohr magnetons follow the coordinates.
Sites, in units of the cell vectors:
1 Li 0.000 0.000 0.000  0.01
2 Se 0.667 0.333 0.233  0.02
3 Se 0.333 0.667 0.233  0.02
4 Se 0.000 0.000 0.500  0.07
5 Se 0.667 0.333 0.767  0.02
6 Se 0.333 0.667 0.767  0.02
7 W 0.500 0.000 0.500  0.53
8 W 0.000 0.500 0.500  0.80
9 W 0.500 0.500 0.500  0.39

Output
Total moment   2.5 μB/cell
Calculated total energy   -6.46 eV/atom
ρ   7.5 g/cm3

***

Entry 17:
Material: NdLuAg
Method: DFT, PBE
State: relaxed

Lattice parameters (Å, degrees): 4.920 4.920 4.920 60.00 60.00 60.00
Sites, in units of the cell vectors:
1 Ag 0.250 0.250 0.250
2 Lu 0.000 0.000 0.000
3 Nd 0.750 0.750 0.750

Output
Energy of formation from the pure elements   0.43 eV per atom
Total moment   0.1 μB/cell
Calculated total energy   -3.60 eV/atom
ρ   8.4 g/cm3

***

Entry 18:
Material: PmCdAsO
Method: DFT, PBE
State: relaxed

Lattice parameters (Å, degrees): 4.736 4.736 9.318 90.00 90.00 90.00
Sites, in units of the cell vectors:
1 As 0.000 0.500 0.329
2 As 0.500 0.000 0.671
3 Cd 0.000 0.500 0.023
4 Cd 0.500 0.000 0.977
5 O 0.000 0.000 0.000
6 O 0.500 0.500 0.000
7 Pm 0.000 0.000 0.500
8 Pm 0.500 0.500 0.500

Output
Total moment   0.0 μB/cell
Calculated total energy   -4.36 eV/atom
ρ   5.5 g/cm3

***

Entry 19:
Material: TmPaGa
Method: DFT, PBE
State: relaxed

Lattice parameters (Å, degrees): 4.829 4.829 4.829 60.00 60.00 60.00
Site moments in Bohr magnetons follow the coordinates.
Sites, in units of the cell vectors:
1 Ga 0.000 0.000 0.000  0.00
2 Pa 0.250 0.250 0.250  0.06
3 Tm 0.750 0.750 0.750  0.02

Output
Total moment   0.1 μB/cell
Calculated total energy   -5.52 eV/atom
ρ   9.8 g/cm3

***

Entry 20:
Material: Li6CdSb
Method: DFT, PBE
State: relaxed

Lattice parameters (Å, degrees): 4.442 4.442 6.577 90.00 90.00 90.00
Sites, in units of the cell vectors:
1 Cd 0.000 0.000 0.000
2 Li 0.500 0.500 0.000
3 Li 0.500 0.000 0.254
4 Li 0.000 0.500 0.254
5 Li 0.000 0.000 0.500
6 Li 0.500 0.000 0.746
7 Li 0.000 0.500 0.746
8 Sb 0.500 0.500 0.500

Output
Calculated total energy   -2.43 eV/atom
ρ   3.5 g/cm3

***

Entry 21:
Material: Pr2Ho2CI2Cl3
Method: DFT, PBE
State: relaxed

Lattice parameters (Å, degrees): 9.515 9.515 8.050 100.57 100.57 23.29
Sites, in units of the cell vectors:
1 C 0.500 0.500 0.000
2 Cl 0.142 0.142 0.337
3 Cl 0.500 0.500 0.500
4 Cl 0.858 0.858 0.663
5 Ho 0.997 0.997 0.204
6 Ho 0.003 0.003 0.796
7 I 0.829 0.829 0.216
8 I 0.171 0.171 0.784
9 Pr 0.639 0.639 0.076
10 Pr 0.361 0.361 0.924

Output
Total moment   0.1 μB/cell
Calculated total energy   -5.09 eV/atom
ρ   5.8 g/cm3

***

Entry 22:
Material: Nb2Re2W3
Method: DFT, PBE
State: relaxed

Lattice parameters (Å, degrees): 7.639 7.639 7.639 33.81 33.81 33.81
Sites, in units of the cell vectors:
1 Nb 0.246 0.246 0.246
2 Nb 0.756 0.756 0.756
3 Re 0.496 0.496 0.496
4 Re 0.000 0.000 0.000
5 W 0.376 0.376 0.376
6 W 0.626 0.626 0.626
7 W 0.876 0.876 0.876

Output
Energy of formation from the pure elements   0.32 eV per atom
Total moment   0.0 μB/cell
Calculated total energy   -11.67 eV/atom
ρ   15.0 g/cm3

***

Entry 23:
Material: YNbIr2
Method: DFT, PBE
State: relaxed

Lattice parameters (Å, degrees): 4.624 4.624 4.624 60.00 60.00 60.00
Sites, in units of the cell vectors:
1 Ir 0.000 0.000 0.000
2 Ir 0.750 0.750 0.750
3 Nb 0.500 0.500 0.500
4 Y 0.250 0.250 0.250

Output
Energy of formation from the pure elements   -0.10 eV per atom
Total moment   0.0 μB/cell
Calculated total energy   -8.67 eV/atom
ρ   13.5 g/cm3

***

Entry 24:
Material: InAuNO
Method: DFT, PBE
State: relaxed

Lattice parameters (Å, degrees): 4.781 4.781 4.555 90.00 90.00 90.00
Sites, in units of the cell vectors:
1 Au 0.750 0.750 0.001
2 Au 0.250 0.250 0.999
3 In 0.750 0.250 0.500
4 In 0.250 0.750 0.500
5 N 0.250 0.250 0.499
6 N 0.750 0.750 0.501
7 O 0.750 0.250 0.000
8 O 0.250 0.750 0.000

Output
Calculated total energy   -4.57 eV/atom
ρ   10.9 g/cm3